Record 1
PBEsol BaYZn2, optimized geometry; formation energy from the elements = 0.046 eV/atom; Fermi-level density of states = 3.83 states/eV/cell; spin magnetization = 0.000 μB per cell; space group = R-3m (166); ΔE to the lowest computed polymorph = 262 meV per atom
1.0
-3.2321 -0.1271 2.0599
-1.0687 -3.2718 1.6908
3.1686 1.1688 8.6134
Ba Y Zn
1 1 2
direct
0.5000 0.5000 0.5000
0.0000 0.0000 0.0000
0.7395 0.7395 0.7816
0.2605 0.2605 0.2184

***

Record 2
PBEsol KSbOs2, optimized geometry; formation energy without anion corrections = 129.22 kJ/mol of atoms; Fermi-level density of states = 4.32 states/eV/cell; spin magnetization = 0.000 μB per cell; space group = C2/m (12)
1.0
2.7027 0.0020 0.0000
-0.0228 5.2224 0.0000
-1.3399 -2.6122 5.2068
Sb Os K
1 2 1
direct
0.0000 0.0000 0.0000
0.0000 0.0000 0.5000
0.5000 0.5000 0.5000
0.5000 0.5000 0.0000

***

Record 3
PBEsol TaSnSeN2, optimized geometry; formation energy without anion corrections = -4.89 kJ/mol of atoms; Fermi-level density of states = 1.98 states/eV/cell; spin magnetization = 0.006 μB per cell; space group = P4/mmm (123); ΔE to the lowest computed polymorph = 0 meV per atom
1.0
4.0530 0.0000 0.0000
0.0000 4.0530 0.0000
0.0000 0.0000 5.2538
N Se Ta Sn
2 1 1 1
direct
0.5000 0.0000 0.0000
0.0000 0.5000 0.0000
0.0000 0.0000 0.5000
0.0000 0.0000 0.0000
0.5000 0.5000 0.5000

***

Record 4
PBEsol Ga2Bi2Br, optimized geometry; formation energy without anion corrections = -14.13 kJ/mol of atoms; Fermi-level density of states = 1.29 states/eV/cell; spin magnetization = 0.000 μB per cell; space group = I4/mmm (139)
1.0
-3.3452 -2.1504 0.7960
1.4472 -3.0720 -2.2173
4.4495 -0.4290 7.2077
Ga Br Bi
2 1 2
direct
0.2500 0.7500 0.5000
0.7500 0.2500 0.5000
0.0000 0.0000 0.0000
0.3781 0.3781 0.7561
0.6219 0.6219 0.2439

***

Record 5
PBEsol Pm2SiPt, optimized geometry; formation energy without anion corrections = -70.62 kJ/mol of atoms; Fermi-level density of states = 1.64 states/eV/cell; spin magnetization = 0.000 μB per cell; space group = Fm-3m (225)
1.0
5.0369 0.0000 0.0000
2.5184 4.3621 0.0000
2.5184 1.4540 4.1126
Pt Pm Si
1 2 1
direct
0.5000 0.5000 0.5000
0.7500 0.7500 0.7500
0.2500 0.2500 0.2500
0.0000 0.0000 0.0000

***

Record 6
PBEsol Na2Sn2O3, optimized geometry; formation energy without anion corrections = -134.96 kJ/mol of atoms; Fermi-level density of states = 0.05 states/eV/cell; spin magnetization = 0.000 μB per cell; space group = I2_13 (199)
1.0
-5.3089 2.9429 2.7566
4.1627 -2.0201 4.7994
3.1313 4.3392 -3.9762
Na O Sn
4 6 4
direct
0.5551 0.5551 0.0551
0.9449 0.0000 0.0000
0.0000 0.5000 0.4449
0.5000 0.9449 0.5000
0.7995 0.7500 0.5495
0.4505 0.7005 0.7500
0.7005 0.2500 0.9505
0.0495 0.7995 0.2500
0.7500 0.0495 0.2995
0.2500 0.4505 0.2005
0.0000 0.5000 0.9646
0.4646 0.0000 0.0000
0.5000 0.4646 0.5000
0.0354 0.0354 0.5354

***

Record 7
PBEsol Tl2Fe2Si, optimized geometry; formation energy without anion corrections = 90.08 kJ/mol of atoms; Fermi-level density of states = 3.67 states/eV/cell; spin magnetization = 5.169 μB per cell; space group = I4/mmm (139)
1.0
3.9155 0.0000 0.0000
0.0000 3.9155 0.0000
-1.9578 -1.9578 6.2844
Si Fe Tl
1 2 2
direct
0.0000 0.0000 0.0000
0.4139 0.4139 0.8278
0.5861 0.5861 0.1722
0.2500 0.7500 0.5000
0.7500 0.2500 0.5000

***

Record 8
PBEsol Tl5Cd, optimized geometry; formation energy from the elements = 0.034 eV/atom; Fermi-level density of states = 2.62 states/eV/cell; spin magnetization = 0.000 μB per cell; space group = Amm2 (38); ΔE to the lowest computed polymorph = 4 meV per atom
1.0
-3.5515 -0.7300 -0.2205
1.1234 -4.7554 -2.3513
2.0561 -3.2449 7.5452
Tl Cd
5 1
direct
0.7878 0.5000 0.5755
0.4572 0.5000 0.9144
0.1198 0.5000 0.2396
0.3287 0.0000 0.6574
0.6512 0.0000 0.3024
0.9887 0.0000 0.9773

***

Record 9
PBEsol P2IrS2, optimized geometry; formation energy without anion corrections = 112.28 kJ/mol of atoms; Fermi-level density of states = 2.87 states/eV/cell; spin magnetization = 0.000 μB per cell; space group = P4/mmm (123); ΔE to the lowest computed polymorph = 348 meV per atom
1.0
-2.4638 0.7910 -3.4190
-2.3774 -3.4058 0.9252
-2.5450 2.4273 2.3955
P S Ir
2 2 1
direct
0.0000 0.0000 0.5000
0.0000 0.5000 0.0000
0.0000 0.0000 0.0000
0.5000 0.0000 0.0000
0.5000 0.5000 0.5000

***

Record 10
PBEsol NbBAs3, optimized geometry; formation energy from the elements = 1.235 eV/atom; Fermi-level density of states = 3.15 states/eV/cell; spin magnetization = 0.000 μB per cell; space group = Pm-3m (221)
1.0
4.9256 0.0000 0.0000
0.0000 4.9256 0.0000
0.0000 0.0000 4.9256
As B Nb
3 1 1
direct
0.0000 0.5000 0.0000
0.0000 0.0000 0.5000
0.5000 0.0000 0.0000
0.5000 0.5000 0.5000
0.0000 0.0000 0.0000

***

Record 11
PBEsol LiCuAg2, optimized geometry; formation energy from the elements = -0.031 eV/atom; Fermi-level density of states = 1.17 states/eV/cell; spin magnetization = 0.000 μB per cell; space group = Pmm2 (25)
1.0
-2.1397 -1.7043 -0.1840
1.6867 -1.7865 -3.0678
2.4626 -3.4549 3.3658
Ag Cu Li
2 1 1
direct
0.0000 0.0000 0.9862
0.5000 0.5000 0.2702
0.0000 0.0000 0.4970
0.5000 0.5000 0.7467

***

Record 12
PBEsol Sc2SbPt, optimized geometry; formation energy without anion corrections = -99.83 kJ/mol of atoms; Fermi-level density of states = 1.54 states/eV/cell; spin magnetization = 0.000 μB per cell; space group = Amm2 (38)
1.0
-0.9205 -1.6667 3.3252
3.2550 -2.4393 -0.3215
3.3748 4.3818 0.9228
Sc Sb Pt
2 1 1
direct
0.2629 0.5000 0.5258
0.9700 0.0000 0.9400
0.5409 0.5000 0.0817
0.7202 0.0000 0.4404

***

Record 13
PBEsol LaCdSe3, optimized geometry; formation energy without anion corrections = -18.31 kJ/mol of atoms; Fermi-level density of states = 9.07 states/eV/cell; spin magnetization = 0.004 μB per cell; space group = Pm-3m (221)
1.0
5.6516 0.0000 0.0000
0.0000 5.6516 0.0000
0.0000 0.0000 5.6516
Cd Se La
1 3 1
direct
0.5000 0.5000 0.5000
0.5000 0.0000 0.0000
0.0000 0.5000 0.0000
0.0000 0.0000 0.5000
0.0000 0.0000 0.0000

***

Record 14
PBEsol AgHgTe2, optimized geometry; formation energy without anion corrections = -3.31 kJ/mol of atoms; Fermi-level density of states = 1.83 states/eV/cell; spin magnetization = 0.000 μB per cell; space group = C2/m (12)
1.0
-3.3457 1.4396 -1.9415
2.4921 -2.8355 -2.0097
-4.1310 -3.7575 4.3327
Hg Te Ag
1 2 1
direct
0.5000 0.0000 0.0000
0.7072 0.4144 0.7326
0.2928 0.5856 0.2674
0.0000 0.0000 0.5000

***

Record 15
PBEsol MnMoIr2, optimized geometry; formation energy from the elements = -0.197 eV/atom; Fermi-level density of states = 3.92 states/eV/cell; spin magnetization = 1.712 μB per cell; space group = Pmmm (47); ΔE to the lowest computed polymorph = 39 meV per atom
1.0
2.6955 0.0000 0.0000
0.0000 3.7602 0.0000
0.0000 0.0000 5.3821
Ir Mo Mn
2 1 1
direct
0.0000 0.0000 0.7588
0.0000 0.0000 0.2412
0.5000 0.5000 0.5000
0.5000 0.5000 0.0000

***

Record 16
PBEsol MnFe3, optimized geometry; formation energy from the elements = 0.100 eV/atom; Fermi-level density of states = 4.88 states/eV/cell; spin magnetization = 7.227 μB per cell; space group = Immm (71)
1.0
2.7615 0.0000 0.0000
0.0000 3.9341 0.0000
-1.3807 -1.9671 3.9367
Mn Fe
1 3
direct
0.0000 0.5000 0.0000
0.5000 0.0000 0.0000
0.2512 0.2512 0.5024
0.7488 0.7488 0.4976

***

Record 17
PBEsol FePdCl3, optimized geometry; formation energy without anion corrections = 4.43 kJ/mol of atoms; Fermi-level density of states = 8.19 states/eV/cell; spin magnetization = 4.409 μB per cell; space group = Pm-3m (221)
1.0
4.6285 0.0000 0.0000
0.0000 4.6285 0.0000
0.0000 0.0000 4.6285
Cl Fe Pd
3 1 1
direct
0.5000 0.0000 0.0000
0.0000 0.0000 0.5000
0.0000 0.5000 0.0000
0.0000 0.0000 0.0000
0.5000 0.5000 0.5000

***

Record 18
PBEsol Cr, optimized geometry; formation energy from the elements = 0.000 eV/atom; Fermi-level density of states = 0.55 states/eV/cell; spin magnetization = 0.000 μB per cell; space group = Im-3m (229); ΔE to the lowest computed polymorph = 0 meV per atom
1.0
2.4352 0.0000 0.0000
-0.8117 2.2959 0.0000
-0.8117 -1.1480 1.9883
Cr
1
direct
0.0000 0.0000 0.0000

***

Record 19
PBEsol LiMg16Al12, optimized geometry; formation energy from the elements = -0.022 eV/atom; Fermi-level density of states = 11.08 states/eV/cell; spin magnetization = 0.000 μB per cell; space group = I-43m (217); ΔE to the lowest computed polymorph = 2 meV per atom
1.0
-8.0452 -3.5969 -1.9781
2.7261 -2.9803 8.0785
-0.6919 9.0034 0.1891
Mg Al Li
16 12 1
direct
0.6001 0.6001 0.2850
0.3150 0.3150 0.7150
0.3150 0.7150 0.3150
0.6850 0.3999 0.0000
0.3999 0.0000 0.6850
0.6850 0.0000 0.3999
0.0000 0.0000 0.6607
0.2850 0.6001 0.6001
0.0000 0.6607 0.0000
0.3393 0.3393 0.3393
0.0000 0.3999 0.6850
0.6001 0.2850 0.6001
0.7150 0.3150 0.3150
0.0000 0.6850 0.3999
0.6607 0.0000 0.0000
0.3999 0.6850 0.0000
0.6322 0.6322 0.8182
0.3678 0.1860 0.0000
0.1860 0.3678 0.0000
0.1818 0.8139 0.8139
0.0000 0.1860 0.3678
0.8139 0.1818 0.8139
0.3678 0.0000 0.1860
0.0000 0.3678 0.1860
0.6322 0.8182 0.6322
0.1860 0.0000 0.3678
0.8182 0.6322 0.6322
0.8139 0.8139 0.1818
0.0000 0.0000 0.0000

***

Record 20
PBEsol Ta5Mo, optimized geometry; formation energy from the elements = -0.038 eV/atom; Fermi-level density of states = 7.06 states/eV/cell; spin magnetization = 0.000 μB per cell; space group = P-1 (2); ΔE to the lowest computed polymorph = 27 meV per atom
1.0
2.8375 -0.0007 0.0002
0.9316 5.2872 0.0012
0.9541 1.3341 6.8663
Ta Mo
5 1
direct
0.8426 0.8349 0.6705
0.5000 0.5000 0.0000
0.6796 0.6706 0.3290
0.3204 0.3294 0.6710
0.1574 0.1651 0.3295
0.0000 0.0000 0.0000